Entry from Alexandria via LeMat-Bulk: an optimized crystal structure of RbScTi (PBE-GGA).

Values from the calculation:
crystal system = triclinic
symmetry = P1
uncorrected energy = -4.610 eV per atom
energy relative to the elements = 44 kJ per mole of atoms

Cell lengths 3.631, 15.350, 3.623 Å; angles 90.10, 90.00, 90.06 degrees
Last column: magnetic moment on the atom in μB.
Element x y z (fractional)
Sc (0.645, 0.921, 0.340)  -0.18
Sc (0.145, 0.803, 0.839)  -0.04
Rb (0.144, 0.136, 0.839)  0.00
Rb (0.643, 0.423, 0.336)  0.00
Ti (0.143, 0.620, 0.837)  0.46
Ti (0.644, 0.702, 0.338)  0.61


Entry from Alexandria via LeMat-Bulk: an optimized crystal structure of RbScTi (PBE-GGA).

Values from the calculation:
crystal system = orthorhombic
symmetry = Pnma
uncorrected energy = -4.167 eV per atom
energy relative to the elements = 87 kJ per mole of atoms

Cell lengths 4.461, 6.871, 14.593 Å; angles 90.00, 90.00, 90.00 degrees
Element x y z (fractional)
Sc (0.994, 0.250, 0.410)
Sc (0.506, 0.750, 0.910)
Sc (0.006, 0.750, 0.590)
Sc (0.494, 0.250, 0.090)
Rb (0.999, 0.250, 0.860)
Rb (0.501, 0.750, 0.360)
Rb (0.001, 0.750, 0.140)
Rb (0.499, 0.250, 0.640)
Ti (0.493, 0.250, 0.281)
Ti (0.007, 0.750, 0.781)
Ti (0.507, 0.750, 0.719)
Ti (0.993, 0.250, 0.219)


Entry from Alexandria via LeMat-Bulk: an optimized crystal structure of RbScTi (PBE-GGA).

Values from the calculation:
crystal system = hexagonal
symmetry = P6_3/mmc
uncorrected energy = -3.102 eV per atom
energy relative to the elements = 189 kJ per mole of atoms

Cell lengths 6.403, 6.403, 9.773 Å; angles 90.00, 90.00, 120.00 degrees
Element x y z (fractional)
Sc (0.000, 0.000, 0.250)
Sc (0.000, 0.000, 0.750)
Rb (0.333, 0.667, 0.250)
Rb (0.667, 0.333, 0.750)
Ti (0.000, 0.000, 0.000)
Ti (0.000, 0.000, 0.500)


Entry from Alexandria via LeMat-Bulk: an optimized crystal structure of Rb2ScTi (PBE-GGA).

Values from the calculation:
crystal system = tetragonal
symmetry = I-42d
uncorrected energy = -2.820 eV per atom
energy relative to the elements = 118 kJ per mole of atoms

Cell lengths 13.658, 13.658, 10.035 Å; angles 47.12, 47.12, 90.00 degrees
Last column: magnetic moment on the atom in μB.
Element x y z (fractional)
Sc (0.500, 0.500, 0.000)  1.02
Sc (0.250, 0.750, 0.500)  1.02
Rb (0.774, 0.125, 0.250)  0.03
Rb (0.976, 0.625, 0.250)  0.03
Rb (0.375, 0.226, 0.750)  0.03
Rb (0.875, 0.024, 0.750)  0.03
Ti (0.000, 0.000, 0.000)  2.15
Ti (0.750, 0.250, 0.500)  2.14


Entry from Alexandria via LeMat-Bulk: an optimized crystal structure of RbScTi (PBE-GGA).

Values from the calculation:
crystal system = hexagonal
symmetry = P6_3/mmc
uncorrected energy = -3.930 eV per atom
energy relative to the elements = 110 kJ per mole of atoms

Cell lengths 5.799, 5.799, 6.324 Å; angles 90.00, 90.00, 120.00 degrees
Last column: magnetic moment on the atom in μB.
Element x y z (fractional)
Sc (0.333, 0.667, 0.250)  0.36
Sc (0.667, 0.333, 0.750)  0.36
Rb (0.000, 0.000, 0.000)  0.02
Rb (0.000, 0.000, 0.500)  0.02
Ti (0.333, 0.667, 0.750)  1.47
Ti (0.667, 0.333, 0.250)  1.47


Entry from Alexandria via LeMat-Bulk: an optimized crystal structure of RbScTi (PBE-GGA).

Values from the calculation:
crystal system = orthorhombic
symmetry = Pnma
uncorrected energy = -4.252 eV per atom
energy relative to the elements = 78 kJ per mole of atoms

Cell lengths 14.373, 5.882, 5.016 Å; angles 90.00, 90.00, 90.00 degrees
Element x y z (fractional)
Sc (0.000, 0.000, 0.000)
Sc (0.500, 0.500, 0.500)
Sc (0.500, 0.000, 0.500)
Sc (0.000, 0.500, 0.000)
Rb (0.729, 0.250, 0.004)
Rb (0.771, 0.750, 0.504)
Rb (0.271, 0.750, 0.996)
Rb (0.229, 0.250, 0.496)
Ti (0.480, 0.250, 0.000)
Ti (0.020, 0.750, 0.500)
Ti (0.520, 0.750, 0.000)
Ti (0.980, 0.250, 0.500)


| no. | excess energy over the best structure of this formula in the dataset (eV per formula unit) | magnetic moment (μB per formula unit) |
| --- | --- | --- |
| 1 | 0.42 | 0.46 |
| 2 | 1.75 | 0.00 |
| 3 | 4.95 | 0.00 |
| 4 | 0.00 | 5.37 |
| 5 | 2.46 | 2.65 |
| 6 | 1.49 | 0.00 |